Material: Li2AlMo
Method: DFT, SCAN
State: PBEsol geometry

Lattice parameters (Å, degrees): 2.5903 4.4851 5.1945 90.00 90.00 90.00
Space group Pmmm (No. 47)
Symmetry-distinct sites (fractional):
1 Li 0.0000 0.0000 0.2419 [2 per cell]
2 Al 0.5000 0.5000 0.5000 [1 per cell]
3 Mo 0.5000 0.5000 0.0000 [1 per cell]

- density of states at the Fermi level (states/eV per atom) = 0.65


Material: MnMo2Ir
Method: DFT, SCAN
State: PBEsol geometry

Lattice parameters (Å, degrees): 3.1157 3.1157 5.8541 90.00 90.00 90.00
Space group P4mm (No. 99)
Symmetry-distinct sites (fractional):
1 Mn 0.0000 0.0000 0.0000 [1 per cell]
2 Mo 0.0000 0.0000 0.4897 [1 per cell]
3 Mo 0.5000 0.5000 0.2259 [1 per cell]
4 Ir 0.5000 0.5000 0.7525 [1 per cell]

- excess energy over the best structure of this formula in the dataset (eV per formula unit) = 0.322
- density of states at the Fermi level (states/eV per atom) = 0.73


Material: ZnRe3
Method: DFT, SCAN
State: PBEsol geometry

Lattice parameters (Å, degrees): 2.7558 2.7558 8.7782 90.00 90.00 120.00
Space group P-6m2 (No. 187)
Symmetry-distinct sites (fractional):
1 Zn 0.0000 0.0000 0.0000 [1 per cell]
2 Re 0.0000 0.0000 0.5000 [1 per cell]
3 Re 0.3333 0.6667 0.2519 [2 per cell]

- density of states at the Fermi level (states/eV per atom) = 0.70


Material: Sc2CuHgB
Method: DFT, SCAN
State: PBEsol geometry

Lattice parameters (Å, degrees): 4.5999 4.5999 4.2199 90.00 90.00 90.00
Space group P4/mmm (No. 123)
Symmetry-distinct sites (fractional):
1 Sc 0.0000 0.5000 0.0000 [2 per cell]
2 Cu 0.0000 0.0000 0.5000 [1 per cell]
3 Hg 0.5000 0.5000 0.5000 [1 per cell]
4 B 0.5000 0.5000 0.0000 [1 per cell]

- density of states at the Fermi level (states/eV per atom) = 0.55


Material: KAsOF4
Method: DFT, SCAN
State: PBEsol geometry

Lattice parameters (Å, degrees): 4.9387 5.9910 13.4201 90.00 98.68 90.00
Space group P2_1/c (No. 14)
Symmetry-distinct sites (fractional):
1 K 0.0904 0.1317 0.1532 [4 per cell]
2 As 0.4736 0.6182 0.0833 [4 per cell]
3 O 0.2945 0.1059 0.5091 [4 per cell]
4 F 0.2319 0.6121 0.1688 [4 per cell]
5 F 0.2710 0.6625 0.5194 [4 per cell]
6 F 0.3284 0.5760 0.8325 [4 per cell]
7 F 0.3360 0.1689 0.8449 [4 per cell]

- formation energy without anion corrections (eV/f.u.) = -16.66
- density of states at the Fermi level (states/eV per atom) = 0.00


Material: Sn2Rh
Method: DFT, SCAN
State: PBEsol geometry

Lattice parameters (Å, degrees): 12.2082 6.2894 6.2782 90.00 90.00 90.00
Space group Cmce (No. 64)
Symmetry-distinct sites (fractional):
1 Sn 0.0000 0.1633 0.1628 [8 per cell]
2 Sn 0.2500 0.2447 0.7500 [8 per cell]
3 Rh 0.1177 0.0000 0.5000 [8 per cell]

- density of states at the Fermi level (states/eV per atom) = 0.28


Material: LaTiSi3
Method: DFT, SCAN
State: PBEsol geometry

Lattice parameters (Å, degrees): 4.6833 4.6833 4.6833 90.00 90.00 90.00
Space group Pm-3m (No. 221)
Symmetry-distinct sites (fractional):
1 La 0.0000 0.0000 0.0000 [1 per cell]
2 Ti 0.5000 0.5000 0.5000 [1 per cell]
3 Si 0.0000 0.5000 0.5000 [3 per cell]

- formation energy without anion corrections (eV/f.u.) = -1.09
- density of states at the Fermi level (states/eV per atom) = 0.56


Material: CrGeW2N
Method: DFT, SCAN
State: PBEsol geometry

Lattice parameters (Å, degrees): 4.0725 4.0725 3.8426 90.00 90.00 90.00
Space group P4/mmm (No. 123)
Symmetry-distinct sites (fractional):
1 Cr 0.0000 0.0000 0.0000 [1 per cell]
2 Ge 0.5000 0.5000 0.0000 [1 per cell]
3 W 0.0000 0.5000 0.5000 [2 per cell]
4 N 0.0000 0.0000 0.5000 [1 per cell]

- formation energy without anion corrections (eV/f.u.) = 0.50
- density of states at the Fermi level (states/eV per atom) = 0.54


Material: CdTeRu2
Method: DFT, SCAN
State: PBEsol geometry

Lattice parameters (Å, degrees): 3.0270 4.0966 5.7017 90.00 104.80 90.00
Space group P2/m (No. 10)
Symmetry-distinct sites (fractional):
1 Cd 0.0000 0.0000 0.0000 [1 per cell]
2 Te 0.5000 0.0000 0.5000 [1 per cell]
3 Ru 0.3623 0.5000 0.7332 [2 per cell]

- excess energy over the best structure of this formula in the dataset (eV per formula unit) = 0.614
- formation energy without anion corrections (eV/f.u.) = 1.90
- density of states at the Fermi level (states/eV per atom) = 0.75


Material: Li2TaAu
Method: DFT, SCAN
State: PBEsol geometry

Lattice parameters (Å, degrees): 2.6776 4.2845 5.7294 90.00 90.00 90.00
Space group Pmm2 (No. 25)
Symmetry-distinct sites (fractional):
1 Li 0.0000 0.0000 0.0000 [1 per cell]
2 Li 0.5000 0.5000 0.2086 [1 per cell]
3 Ta 0.0000 0.0000 0.5197 [1 per cell]
4 Au 0.5000 0.5000 0.7224 [1 per cell]

- excess energy over the best structure of this formula in the dataset (eV per formula unit) = 0.298
- density of states at the Fermi level (states/eV per atom) = 0.27


Material: ZnIn3
Method: DFT, SCAN
State: PBEsol geometry

Lattice parameters (Å, degrees): 3.3080 3.3080 9.6977 90.00 90.00 120.00
Space group P-6m2 (No. 187)
Symmetry-distinct sites (fractional):
1 Zn 0.0000 0.0000 0.0000 [1 per cell]
2 In 0.0000 0.0000 0.5000 [1 per cell]
3 In 0.6667 0.3333 0.2232 [2 per cell]

- density of states at the Fermi level (states/eV per atom) = 0.42


Material: CaTa2P
Method: DFT, SCAN
State: PBEsol geometry

Lattice parameters (Å, degrees): 6.4399 6.4399 6.4399 90.00 90.00 90.00
Space group Fm-3m (No. 225)
Symmetry-distinct sites (fractional):
1 Ca 0.0000 0.0000 0.0000 [4 per cell]
2 Ta 0.2500 0.2500 0.2500 [8 per cell]
3 P 0.0000 0.0000 0.5000 [4 per cell]

- excess energy over the best structure of this formula in the dataset (eV per formula unit) = 3.654
- density of states at the Fermi level (states/eV per atom) = 1.52


Calculated electronic total energy in order - -11.566, -39.874, -56.634, -23.835, -9.367, -35.619, -18.055, -37.128, -33.854, -35.150, -28.270, -37.382 eV per atom